i:
Below is a geometry-optimized Dy2YPt structure, with properties calculated at the PBE level.

The structure in CIF format:
```
data_Dy2YPt
_symmetry_space_group_name_H-M 'P 4/m m m'
_symmetry_Int_Tables_number 123
_symmetry_space_group_name_Hall '-P 4 2'
_cell_length_a 3.5811
_cell_length_b 3.5811
_cell_length_c 8.4074
_cell_angle_alpha 90.00
_cell_angle_beta 90.00
_cell_angle_gamma 90.00
loop_
_atom_site_label
_atom_site_fract_x
_atom_site_fract_y
_atom_site_fract_z
_atom_site_occupancy
Dy1 0.0000 0.0000 0.1944 1
Y1 0.5000 0.5000 0.5000 1
Pt1 0.5000 0.5000 0.0000 1
```

mass density = 9.379 g cm⁻³
crystal system = tetragonal
V = 108 Å³/f.u.

ii:
Below is a geometry-optimized Dy2YPt structure, with properties calculated at the PBE level.

The structure in CIF format:
```
data_Dy2YPt
_symmetry_space_group_name_H-M 'P n m a'
_symmetry_Int_Tables_number 62
_cell_length_a 7.0587
_cell_length_b 9.6096
_cell_length_c 6.4845
_cell_angle_alpha 90.00
_cell_angle_beta 90.00
_cell_angle_gamma 90.00
loop_
_symmetry_equiv_pos_as_xyz
'x,y,z'
'-x,-y,-z'
'-x+1/2,-y,z+1/2'
'x+1/2,y,-z+1/2'
'x+1/2,-y+1/2,-z+1/2'
'-x+1/2,y+1/2,z+1/2'
'-x,y+1/2,-z'
'x,-y+1/2,z'
loop_
_atom_site_label
_atom_site_fract_x
_atom_site_fract_y
_atom_site_fract_z
_atom_site_occupancy
Dy1 0.1804 0.0611 0.1780 1
Y1 0.0253 0.2500 0.6309 1
Pt1 0.1114 0.7500 0.9457 1
```

mass density = 9.196 g cm⁻³
crystal system = orthorhombic
V = 110 Å³/f.u.

Stability, descending: ii, i

i:
Below is a geometry-optimized Dy3YPt structure, with properties calculated at the PBE level.

The structure in CIF format:
```
data_Dy3YPt
_symmetry_space_group_name_H-M 'P m n 21'
_symmetry_Int_Tables_number 31
_cell_length_a 7.6100
_cell_length_b 6.7253
_cell_length_c 6.0616
_cell_angle_alpha 90.00
_cell_angle_beta 90.00
_cell_angle_gamma 90.00
loop_
_symmetry_equiv_pos_as_xyz
'x,y,z'
'-x+1/2,-y,z+1/2'
'-x,y,z'
'x+1/2,-y,z+1/2'
loop_
_atom_site_label
_atom_site_fract_x
_atom_site_fract_y
_atom_site_fract_z
_atom_site_occupancy
Dy1 0.0000 0.1508 0.0000 1
Dy2 0.2468 0.6990 0.0062 1
Y1 0.0000 0.8571 0.5116 1
Pt1 0.0000 0.4994 0.2609 1
```

mass density = 8.259 g cm⁻³
crystal system = orthorhombic
V = 155 Å³/f.u.

ii:
Below is a geometry-optimized Dy3YPt structure, with properties calculated at the PBE level.

The structure in CIF format:
```
data_Dy3YPt
_symmetry_space_group_name_H-M 'C 1 m 1'
_symmetry_Int_Tables_number 8
_cell_length_a 12.3415
_cell_length_b 3.7597
_cell_length_c 12.9864
_cell_angle_alpha 90.00
_cell_angle_beta 109.51
_cell_angle_gamma 90.00
loop_
_symmetry_equiv_pos_as_xyz
'x,y,z'
'x,-y,z'
'x+1/2,y+1/2,z'
'x+1/2,-y+1/2,z'
loop_
_atom_site_label
_atom_site_fract_x
_atom_site_fract_y
_atom_site_fract_z
_atom_site_occupancy
Dy1 0.0000 0.0000 0.0000 1
Dy2 0.0302 0.5000 0.2481 1
Dy3 0.1532 0.5000 0.5389 1
Dy4 0.2941 0.0000 0.3737 1
Dy5 0.3429 0.0000 0.7671 1
Dy6 0.4508 0.5000 0.6047 1
Y1 0.1406 0.5000 0.8332 1
Y2 0.2654 0.5000 0.1258 1
Pt1 0.3105 0.0000 0.9805 1
Pt2 0.4870 0.5000 0.3921 1
```

mass density = 9.022 g cm⁻³
crystal system = monoclinic
V = 142 Å³/f.u.

Stability, descending: ii, i

i:
Below is a geometry-optimized DyY3Pt2 structure, with properties calculated at the PBE level.

The structure in CIF format:
```
data_DyY3Pt2
_symmetry_space_group_name_H-M 'P m c 21'
_symmetry_Int_Tables_number 26
_cell_length_a 4.7906
_cell_length_b 8.8421
_cell_length_c 7.1691
_cell_angle_alpha 90.00
_cell_angle_beta 90.00
_cell_angle_gamma 90.00
loop_
_symmetry_equiv_pos_as_xyz
'x,y,z'
'-x,-y,z+1/2'
'-x,y,z'
'x,-y,z+1/2'
loop_
_atom_site_label
_atom_site_fract_x
_atom_site_fract_y
_atom_site_fract_z
_atom_site_occupancy
Dy1 0.0000 0.0844 0.0000 1
Y1 0.0000 0.3314 0.6341 1
Y2 0.5000 0.1679 0.3474 1
Y3 0.5000 0.4173 0.9813 1
Pt1 0.0000 0.3426 0.2306 1
Pt2 0.5000 0.1565 0.7509 1
```

mass density = 8.961 g cm⁻³
crystal system = orthorhombic
V = 152 Å³/f.u.

ii:
Below is a geometry-optimized DyY3Pt2 structure, with properties calculated at the PBE level.

The structure in CIF format:
```
data_DyY3Pt2
_symmetry_space_group_name_H-M 'I b a m'
_symmetry_Int_Tables_number 72
_symmetry_space_group_name_Hall '-I 2 2c'
_cell_length_a 6.9071
_cell_length_b 13.7005
_cell_length_c 7.1191
_cell_angle_alpha 90.00
_cell_angle_beta 90.00
_cell_angle_gamma 90.00
loop_
_atom_site_label
_atom_site_fract_x
_atom_site_fract_y
_atom_site_fract_z
_atom_site_occupancy
Dy1 0.0000 0.0000 0.0000 1
Y1 0.0000 0.2365 0.2500 1
Y2 0.0000 0.5000 0.2500 1
Pt1 0.2122 0.3605 0.0000 1
```

mass density = 8.079 g cm⁻³
crystal system = orthorhombic
V = 168 Å³/f.u.

Stability, descending: i, ii